1.
{"formula": "NdEu2H", "functional": "GGA-PBE", "state": "optimized geometry", "final_energy_ev_per_atom": -7.32, "spacegroup": "R-3m (166)", "volume_a3_per_cell": 112, "lattice_angstrom": [[3.7337, 0.0000, 0.0000], [1.8668, 3.2335, 0.0000], [1.8668, 1.0778, 9.3080]], "species": ["Eu", "Nd", "Eu", "H"], "frac_coords": [[0.7202, 0.7202, 0.8396], [0.5000, 0.5000, 0.5000], [0.2798, 0.2798, 0.1604], [0.0000, 0.0000, 0.0000]]}

=====

2.
{"formula": "HgH2Rh", "functional": "GGA-PBE", "state": "optimized geometry", "final_energy_ev_per_atom": -3.55, "spacegroup": "C2/c (15)", "volume_a3_per_cell": 103, "lattice_angstrom": [[4.8194, 0.2121, 1.5238], [2.0942, 4.8735, 0.6621], [1.1297, 0.1061, 4.8102]], "species": ["H", "Hg", "Hg", "H", "Rh", "H", "H", "Rh"], "frac_coords": [[0.4814, 0.0232, 0.7168], [0.8869, 0.2500, 0.2262], [0.1131, 0.7500, 0.7738], [0.5186, 0.9768, 0.2832], [0.2218, 0.2500, 0.5565], [0.8018, 0.4768, 0.7168], [0.1982, 0.5232, 0.2832], [0.7782, 0.7500, 0.4435]]}

=====

3.
{"formula": "Ce2YCr2N6", "functional": "GGA-PBE", "state": "optimized geometry", "raw_formation_energy_mev_per_atom": -855.2, "spacegroup": "R-3m (166)", "volume_a3_per_cell": 159, "lattice_angstrom": [[5.5118, 0.0000, 0.0000], [2.7559, 4.7734, 0.0000], [2.7559, 1.5911, 6.0491]], "species": ["Ce", "Cr", "N", "Y", "Ce", "N", "N", "N", "Cr", "N", "N"], "frac_coords": [[0.7941, 0.7941, 0.6176], [0.5987, 0.5987, 0.2039], [0.7361, 0.2319, 0.2958], [0.0000, 0.0000, 0.0000], [0.2059, 0.2059, 0.3824], [0.7681, 0.2639, 0.7042], [0.2319, 0.7361, 0.2958], [0.2639, 0.7681, 0.7042], [0.4013, 0.4013, 0.7961], [0.7361, 0.7361, 0.2958], [0.2639, 0.2639, 0.7042]]}

=====

4.
{"formula": "Er2Cd2Ag", "functional": "GGA-PBE", "state": "optimized geometry", "e_form_ev_per_atom": -0.20, "spacegroup": "Cmmm (65)", "volume_a3_per_cell": 125, "lattice_angstrom": [[3.4412, 0.0000, 0.0000], [0.0000, 3.5186, 0.6667], [0.0000, -0.1301, 10.3052]], "species": ["Cd", "Er", "Er", "Cd", "Ag"], "frac_coords": [[0.0000, 0.1934, 0.6131], [0.5000, 0.4083, 0.1834], [0.5000, 0.5917, 0.8166], [0.0000, 0.8066, 0.3869], [0.0000, 0.0000, 0.0000]]}

=====

5.
{"formula": "POs2Se", "functional": "GGA-PBE", "state": "optimized geometry", "raw_formation_energy_mev_per_atom": 338.8, "spacegroup": "C2/m (12)", "volume_a3_per_cell": 59, "lattice_angstrom": [[1.4810, 3.8630, 0.0013], [-1.4810, 3.8630, 0.0013], [0.0000, 1.1715, 5.1159]], "species": ["Os", "Se", "P", "Os"], "frac_coords": [[0.2564, 0.2564, 0.7225], [0.5000, 0.5000, 0.0000], [0.0000, 0.0000, 0.5000], [0.7436, 0.7436, 0.2775]]}

=====

6.
{"formula": "YB3Os3", "functional": "GGA-PBE", "state": "optimized geometry", "e_form_ev_per_atom": 0.01, "spacegroup": "Pm-3n (223)", "volume_a3_per_cell": 202, "lattice_angstrom": [[5.8686, 0.0000, 0.0000], [0.0000, 5.8686, 0.0000], [0.0000, 0.0000, 5.8686]], "species": ["Os", "B", "Y", "Os", "Os", "Y", "Os", "B", "B", "B", "Os", "Os", "B", "B"], "frac_coords": [[0.0000, 0.2500, 0.5000], [0.0000, 0.5000, 0.2500], [0.0000, 0.0000, 0.0000], [0.7500, 0.5000, 0.0000], [0.2500, 0.5000, 0.0000], [0.5000, 0.5000, 0.5000], [0.0000, 0.7500, 0.5000], [0.0000, 0.5000, 0.7500], [0.7500, 0.0000, 0.5000], [0.2500, 0.0000, 0.5000], [0.5000, 0.0000, 0.7500], [0.5000, 0.0000, 0.2500], [0.5000, 0.2500, 0.0000], [0.5000, 0.7500, 0.0000]]}

=====

7.
{"formula": "KRbBe2Br6", "functional": "GGA-PBE", "state": "optimized geometry", "raw_formation_energy_mev_per_atom": -1302.8, "spacegroup": "C2/c (15)", "volume_a3_per_cell": 762, "lattice_angstrom": [[-1.2616, -4.9748, 7.9145], [8.4627, -4.0893, -0.7994], [1.6349, 8.7068, 2.7093]], "species": ["Br", "Br", "Be", "Br", "Br", "Br", "Br", "Rb", "Be", "Br", "Be", "Be", "K", "Br", "Br", "Rb", "K", "Br", "Br", "Br"], "frac_coords": [[0.6116, 0.0960, 0.3714], [0.2788, 0.5052, 0.3502], [0.6572, 0.8730, 0.3130], [0.5052, 0.2788, 0.8502], [0.8002, 0.8537, 0.9325], [0.0960, 0.6116, 0.8714], [0.1998, 0.1463, 0.0675], [0.8601, 0.1399, 0.7500], [0.3428, 0.1270, 0.6870], [0.8537, 0.8002, 0.4325], [0.1270, 0.3428, 0.1870], [0.8730, 0.6572, 0.8130], [0.5963, 0.4037, 0.2500], [0.1463, 0.1998, 0.5675], [0.3884, 0.9040, 0.6286], [0.1399, 0.8601, 0.2500], [0.4037, 0.5963, 0.7500], [0.9040, 0.3884, 0.1286], [0.4948, 0.7212, 0.1498], [0.7212, 0.4948, 0.6498]]}

=====

8.
{"formula": "HfGaBr3", "functional": "GGA-PBE", "state": "optimized geometry", "raw_formation_energy_mev_per_atom": -484.6, "spacegroup": "Pm-3m (221)", "volume_a3_per_cell": 149, "lattice_angstrom": [[-0.6452, 3.2286, 4.1566], [-3.8863, -3.1163, 1.8173], [3.5494, -2.8253, 2.7455]], "species": ["Br", "Br", "Ga", "Hf", "Br"], "frac_coords": [[0.0000, 0.0000, 0.5000], [0.5000, 0.0000, 0.0000], [0.5000, 0.5000, 0.5000], [0.0000, 0.0000, 0.0000], [0.0000, 0.5000, 0.0000]]}

=====

9.
{"formula": "Ni2Pt5Rh2", "functional": "GGA-PBE", "state": "optimized geometry", "e_form_ev_per_atom": 0.28, "spacegroup": "P-1 (2)", "volume_a3_per_cell": 147, "lattice_angstrom": [[-1.4651, -3.6044, -0.1100], [7.6200, -0.8688, -3.7929], [-4.0668, 1.4133, 7.3650]], "species": ["Rh", "Ni", "Pt", "Pt", "Pt", "Pt", "Pt", "Ni", "Rh"], "frac_coords": [[0.8401, 0.6806, 0.1466], [0.6748, 0.3500, 0.3915], [0.0000, 0.0000, 0.0000], [0.1107, 0.2250, 0.4795], [0.3992, 0.7986, 0.0398], [0.8893, 0.7750, 0.5205], [0.6008, 0.2014, 0.9602], [0.3252, 0.6500, 0.6085], [0.1599, 0.3194, 0.8534]]}

=====

10.
{"formula": "SmY3Er3Se8", "functional": "GGA-PBE", "state": "optimized geometry", "raw_formation_energy_mev_per_atom": -1820.0, "spacegroup": "R-3m (166)", "volume_a3_per_cell": 377, "lattice_angstrom": [[-3.0901, 6.4233, -3.8601], [-4.0731, -7.0080, 0.1104], [0.6797, 4.4000, 6.7776]], "species": ["Er", "Se", "Se", "Er", "Se", "Se", "Y", "Y", "Se", "Er", "Se", "Se", "Se", "Sm", "Y"], "frac_coords": [[0.5000, 0.5000, 0.5000], [0.7418, 0.4837, 0.2449], [0.2514, 0.5029, 0.2543], [0.5000, 0.0000, 0.5000], [0.7388, 0.9970, 0.7551], [0.2582, 0.5163, 0.7551], [0.5000, 0.5000, 0.0000], [0.0000, 0.5000, 0.0000], [0.7418, 0.0030, 0.2449], [0.0000, 0.5000, 0.5000], [0.2612, 0.0030, 0.2449], [0.7486, 0.4971, 0.7457], [0.2582, 0.9970, 0.7551], [0.0000, 0.0000, 0.5000], [0.0000, 0.0000, 0.0000]]}

=====

11.
{"formula": "MgReIr", "functional": "GGA-PBE", "state": "optimized geometry", "e_form_ev_per_atom": 0.10, "spacegroup": "Pnma (62)", "volume_a3_per_cell": 187, "lattice_angstrom": [[-1.7688, -4.8849, -0.9224], [1.0744, 0.3746, -4.0442], [7.6424, -3.0965, 1.7435]], "species": ["Re", "Re", "Ir", "Re", "Mg", "Ir", "Re", "Mg", "Mg", "Ir", "Ir", "Mg"], "frac_coords": [[0.4097, 0.2500, 0.7244], [0.9097, 0.2500, 0.7756], [0.6236, 0.7500, 0.5901], [0.5903, 0.7500, 0.2756], [0.3737, 0.2500, 0.0770], [0.8764, 0.2500, 0.0901], [0.0903, 0.7500, 0.2244], [0.6263, 0.7500, 0.9230], [0.1263, 0.7500, 0.5770], [0.1236, 0.7500, 0.9099], [0.3764, 0.2500, 0.4099], [0.8737, 0.2500, 0.4230]]}

=====

12.
{"formula": "SrSb2Ir", "functional": "GGA-PBE", "state": "optimized geometry", "raw_formation_energy_mev_per_atom": -321.0, "spacegroup": "Immm (71)", "volume_a3_per_cell": 106, "lattice_angstrom": [[-1.5125, 2.0911, -5.5703], [1.1889, -4.0965, -4.4152], [-3.2516, 1.2773, 5.0482]], "species": ["Sr", "Sb", "Sb", "Ir"], "frac_coords": [[0.2500, 0.7500, 0.5000], [0.5554, 0.5554, 0.0000], [0.9446, 0.9446, 0.0000], [0.7500, 0.2500, 0.5000]]}

=====

13.
{"formula": "ZrCr2Ga2", "functional": "GGA-PBE", "state": "optimized geometry", "e_form_ev_per_atom": 0.00, "spacegroup": "P4/mbm (127)", "volume_a3_per_cell": 152, "lattice_angstrom": [[-2.3787, 6.6093, 2.1398], [-4.8116, -3.1989, 4.5317], [1.9261, 0.0253, 2.0629]], "species": ["Cr", "Ga", "Zr", "Ga", "Cr", "Cr", "Zr", "Ga", "Ga", "Cr"], "frac_coords": [[0.1034, 0.3966, 0.0000], [0.3136, 0.1864, 0.5000], [0.5000, 0.5000, 0.0000], [0.6864, 0.8136, 0.5000], [0.3966, 0.8966, 0.0000], [0.6034, 0.1034, 0.0000], [0.0000, 0.0000, 0.0000], [0.1864, 0.6864, 0.5000], [0.8136, 0.3136, 0.5000], [0.8966, 0.6034, 0.0000]]}

=====

14.
{"formula": "MgCdPb4", "functional": "GGA-PBE", "state": "optimized geometry", "e_form_ev_per_atom": 0.00, "spacegroup": "P4/mmm (123)", "volume_a3_per_cell": 171, "lattice_angstrom": [[3.4641, -0.0007, 0.0002], [0.0007, 3.4641, 0.0002], [-0.0007, -0.0007, 14.2492]], "species": ["Pb", "Mg", "Cd", "Pb", "Pb", "Pb"], "frac_coords": [[0.5000, 0.5000, 0.8491], [0.0000, 0.0000, 0.0000], [0.5000, 0.5000, 0.5000], [0.0000, 0.0000, 0.6587], [0.5000, 0.5000, 0.1509], [0.0000, 0.0000, 0.3413]]}

=====

15.
{"formula": "TaRu", "functional": "GGA-PBE", "state": "optimized geometry", "e_form_ev_per_atom": -0.34, "spacegroup": "Cmmm (65)", "volume_a3_per_cell": 128, "lattice_angstrom": [[-2.3545, -5.0714, 2.6398], [6.3012, -2.2825, 1.2351], [-0.0172, 1.4107, 2.6947]], "species": ["Ta", "Ru", "Ta", "Ru", "Ru", "Ta", "Ru", "Ta"], "frac_coords": [[0.2639, 0.5000, 0.5000], [0.0000, 0.7290, 0.0000], [0.7361, 0.5000, 0.5000], [0.5000, 0.2290, 0.0000], [0.0000, 0.2710, 0.0000], [0.7639, 0.0000, 0.5000], [0.5000, 0.7710, 0.0000], [0.2361, 0.0000, 0.5000]]}

=====

16.
{"formula": "PmGa5Pt2", "functional": "GGA-PBE", "state": "optimized geometry", "e_form_ev_per_atom": -0.66, "spacegroup": "Immm (71)", "volume_a3_per_cell": 149, "lattice_angstrom": [[-2.0063, -2.9942, 1.8913], [2.2620, -0.4322, 6.0954], [-4.1364, 2.6923, 4.2543]], "species": ["Ga", "Pm", "Ga", "Ga", "Pt", "Pt", "Ga", "Ga"], "frac_coords": [[0.6427, 0.5499, 0.1646], [0.0000, 0.0000, 0.0000], [0.0000, 0.5000, 0.5000], [0.3573, 0.4501, 0.8354], [0.7534, 0.7466, 0.7466], [0.2466, 0.2534, 0.2534], [0.3573, 0.8354, 0.4501], [0.6427, 0.1646, 0.5499]]}

=====

17.
{"formula": "RbIn8Ag2", "functional": "GGA-PBE", "state": "optimized geometry", "e_form_ev_per_atom": 0.11, "spacegroup": "P4/mmm (123)", "volume_a3_per_cell": 406, "lattice_angstrom": [[-3.1693, -5.4917, 0.0432], [4.8382, -2.8156, -2.9782], [4.1402, -2.3191, 8.9184]], "species": ["In", "Ag", "In", "In", "In", "In", "In", "In", "Ag", "Rb", "In"], "frac_coords": [[0.7512, 0.2488, 0.8153], [0.5000, 0.0000, 0.0000], [0.2488, 0.2488, 0.8153], [0.2488, 0.7512, 0.1847], [0.7512, 0.7512, 0.1847], [0.7512, 0.2488, 0.1847], [0.7512, 0.7512, 0.8153], [0.2488, 0.7512, 0.8153], [0.0000, 0.5000, 0.0000], [0.5000, 0.5000, 0.5000], [0.2488, 0.2488, 0.1847]]}

=====

18.
{"formula": "Gd2GaF", "functional": "GGA-PBE", "state": "optimized geometry", "raw_formation_energy_mev_per_atom": -927.2, "spacegroup": "R-3m (166)", "volume_a3_per_cell": 94, "lattice_angstrom": [[-3.2951, -0.3928, 0.4604], [-1.1347, -1.5543, 2.7423], [-1.8372, 7.8432, 5.7317]], "species": ["Gd", "F", "Ga", "Gd"], "frac_coords": [[0.1028, 0.1028, 0.6916], [0.5000, 0.5000, 0.5000], [0.0000, 0.0000, 0.0000], [0.8972, 0.8972, 0.3084]]}

=====

19.
{"formula": "Sr2OF", "functional": "GGA-PBE", "state": "optimized geometry", "raw_formation_energy_mev_per_atom": -2523.6, "spacegroup": "I4_1/amd (141)", "volume_a3_per_cell": 304, "lattice_angstrom": [[-3.9151, 3.3980, -1.1966], [1.0459, -0.6192, -5.1806], [-6.9565, -8.1655, -0.4274]], "species": ["Sr", "Sr", "Sr", "Sr", "Sr", "Sr", "F", "O", "Sr", "F", "O", "O", "F", "Sr", "O", "F"], "frac_coords": [[0.2500, 0.0000, 0.6117], [0.2500, 0.0000, 0.1383], [0.7500, 0.0000, 0.3883], [0.7500, 0.5000, 0.1117], [0.7500, 0.0000, 0.8617], [0.7500, 0.5000, 0.6383], [0.2500, 0.5002, 0.6247], [0.7500, 0.9998, 0.6250], [0.2500, 0.5000, 0.3617], [0.7500, 0.0002, 0.1247], [0.2500, 0.4998, 0.1250], [0.2500, 0.0002, 0.3750], [0.7500, 0.4998, 0.3753], [0.2500, 0.5000, 0.8883], [0.7500, 0.5002, 0.8750], [0.2500, 0.9998, 0.8753]]}

=====

20.
{"formula": "NaBSb3", "functional": "GGA-PBE", "state": "optimized geometry", "raw_formation_energy_mev_per_atom": 542.2, "spacegroup": "Pm-3m (221)", "volume_a3_per_cell": 123, "lattice_angstrom": [[-1.8439, -0.4907, 4.5959], [0.1798, -4.9520, -0.4566], [4.6185, -0.0032, 1.8527]], "species": ["Sb", "B", "Sb", "Sb", "Na"], "frac_coords": [[0.0000, 0.0000, 0.5000], [0.0000, 0.0000, 0.0000], [0.0000, 0.5000, 0.0000], [0.5000, 0.0000, 0.0000], [0.5000, 0.5000, 0.5000]]}